Here is a geometry-optimized Sb2TeRuSe structure from Alexandria via LeMat-Bulk. Energies are from GGA-PBE.

a = 5.347 Å, b = 5.347 Å, c = 5.292 Å
α = 90.00°, β = 90.00°, γ = 90.00°
Atoms (fractional coordinates):
1 Sb 0.000 0.500 0.000
2 Sb 0.500 0.000 0.000
3 Te 0.000 0.000 0.500
4 Ru 0.500 0.500 0.500
5 Se 0.000 0.000 0.000

Calculated values
V (Å³/cell): 151.3
Calculated density (g/cm³): 6.05
E_form (uncorrected) (eV/atom): 1.29
VASP energy (eV per atom): -3.54